(1)
First-principles (PBE) data for La2FeN after structural relaxation, as listed in Alexandria via LeMat-Bulk.

a b c (Å): 6.684 6.684 8.183
angles (deg): 90.00 90.00 90.00
Space group I-42d (No. 122)
Symmetry-distinct sites (fractional):
La 0.207 0.250 0.125
Fe 0.000 0.000 0.500
N 0.000 0.000 0.000

Computed properties:
Energy relative to the elements, uncorrected ... -0.31 eV/f.u.

(2)
First-principles (PBE) data for Nd2TeO6 after structural relaxation, as listed in Alexandria via LeMat-Bulk.

a b c (Å): 5.482 9.424 10.310
angles (deg): 90.00 90.00 90.00
Space group P2_12_12_1 (No. 19)
Symmetry-distinct sites (fractional):
Nd 0.024 0.104 0.459
Nd 0.035 0.217 0.863
Te 0.041 0.496 0.356
O 0.074 0.849 0.025
O 0.167 0.947 0.288
O 0.180 0.637 0.243
O 0.191 0.638 0.824
O 0.223 0.112 0.065
O 0.246 0.586 0.492

Computed properties:
Energy relative to the elements, uncorrected ... -22.33 eV/f.u.

(3)
First-principles (PBE) data for PrTm2As after structural relaxation, as listed in Alexandria via LeMat-Bulk.

a b c (Å): 3.7471 3.7471 31.3504
angles (deg): 90.00 90.00 120.00
Space group R-3m (No. 166, hexagonal axes)
Symmetry-distinct sites (fractional):
Pr 0.0000 0.0000 0.0000
Tm 0.0000 0.0000 0.1121
As 0.0000 0.0000 0.5000

Computed properties:
DFT formation energy ... -412 meV/atom

(4)
First-principles (PBE) data for Sr3Ac2TlTe6 after structural relaxation, as listed in Alexandria via LeMat-Bulk.

a b c (Å): 20.723 4.748 9.611
angles (deg): 90.00 102.85 90.00
Space group C2/m (No. 12)
Symmetry-distinct sites (fractional):
Sr 0.000 0.000 0.000
Sr 0.162 0.500 0.336
Ac 0.165 0.500 0.832
Tl 0.000 0.000 0.500
Te 0.002 0.500 0.761
Te 0.168 0.000 0.086
Te 0.172 0.000 0.589

Computed properties:
Energy relative to the elements, uncorrected ... -17.72 eV/f.u.

(5)
First-principles (PBE) data for CsRbAc2I8 after structural relaxation, as listed in Alexandria via LeMat-Bulk.

a b c (Å): 8.8632 8.8632 9.7961
angles (deg): 90.00 90.00 120.00
Space group P-3 (No. 147)
Symmetry-distinct sites (fractional):
Cs 0.0000 0.0000 0.0000
Rb 0.0000 0.0000 0.5000
Ac 0.3333 0.6667 0.4123
I 0.0617 0.3866 0.6592
I 0.3333 0.6667 0.0888

Computed properties:
Energy relative to the elements, uncorrected ... -17.83 eV/f.u.

(6)
First-principles (PBE) data for Tb2HgPt after structural relaxation, as listed in Alexandria via LeMat-Bulk.

a b c (Å): 3.592 3.592 7.384
angles (deg): 90.00 90.00 90.00
Space group P4/mmm (No. 123)
Symmetry-distinct sites (fractional):
Tb 0.000 0.000 0.226
Hg 0.500 0.500 0.500
Pt 0.500 0.500 0.000

Computed properties:
DFT formation energy ... -855 meV/atom

no.,VASP energy (eV/atom)
1,-6.74
2,-7.20
3,-5.00
4,-4.35
5,-3.36
6,-4.76